No. 1
{"formula": "LiTa2", "functional": "PBE-GGA", "state": "optimized geometry", "cell": [[5.7271, -1.4037, 0.0000], [5.7271, 1.4037, 0.0000], [-1.4697, 0.0000, 6.5927]], "species": ["Li", "Li", "Ta", "Ta", "Ta", "Ta"], "frac_coords": [[0.0295, 0.0295, 0.3246], [0.9705, 0.9705, 0.6754], [0.2913, 0.2913, 0.3434], [0.3656, 0.3656, 0.9806], [0.6344, 0.6344, 0.0194], [0.7087, 0.7087, 0.6566]], "e_above_lowest_polymorph_kj_per_mol_atoms": 9.2, "formation_enthalpy_0k_ev_per_atom": 0.364, "energy_ev_per_atom": -8.1754, "crystal_system": "monoclinic"}

No. 2
{"formula": "NaHoTe2", "functional": "PBE-GGA", "state": "optimized geometry", "cell": [[2.1438, 1.2377, 7.9969], [-2.1438, 1.2377, 7.9969], [0.0000, -2.4755, 7.9969]], "species": ["Na", "Ho", "Te", "Te"], "frac_coords": [[0.0000, 0.0000, 0.0000], [0.1680, 0.1680, 0.1680], [0.4228, 0.4228, 0.4228], [0.5797, 0.5797, 0.5797]], "energy_ev_per_atom": -4.2599, "crystal_system": "trigonal"}

No. 3
{"formula": "ReSbTe2C", "functional": "PBE-GGA", "state": "optimized geometry", "cell": [[4.5830, 0.0000, 0.0000], [0.0000, 4.5830, 0.0000], [0.0000, 0.0000, 4.5751]], "species": ["Re", "Sb", "Te", "Te", "C"], "frac_coords": [[0.0000, 0.0000, 0.0000], [0.5000, 0.5000, 0.0000], [0.0000, 0.5000, 0.5000], [0.5000, 0.0000, 0.5000], [0.5000, 0.5000, 0.5000]], "e_above_lowest_polymorph_kj_per_mol_atoms": 0.0, "energy_ev_per_atom": -4.8736, "crystal_system": "tetragonal"}

No. 4
{"formula": "Pm3Si5Ni6", "functional": "PBE-GGA", "state": "optimized geometry", "cell": [[3.9360, 0.0000, 0.0000], [0.0000, 11.7737, 0.0000], [0.0000, 0.0000, 9.7225]], "species": ["Pm", "Pm", "Pm", "Pm", "Pm", "Pm", "Si", "Si", "Si", "Si", "Si", "Si", "Si", "Si", "Si", "Si", "Ni", "Ni", "Ni", "Ni", "Ni", "Ni", "Ni", "Ni", "Ni", "Ni", "Ni", "Ni"], "frac_coords": [[0.2500, 0.0921, 0.2495], [0.2500, 0.4079, 0.2495], [0.2500, 0.7500, 0.2467], [0.7500, 0.2500, 0.7533], [0.7500, 0.5921, 0.7505], [0.7500, 0.9079, 0.7505], [0.2500, 0.0769, 0.8610], [0.2500, 0.4231, 0.8610], [0.2500, 0.6350, 0.5132], [0.2500, 0.7500, 0.8979], [0.2500, 0.8650, 0.5132], [0.7500, 0.1350, 0.4868], [0.7500, 0.2500, 0.1021], [0.7500, 0.3650, 0.4868], [0.7500, 0.5769, 0.1390], [0.7500, 0.9231, 0.1390], [0.2500, 0.0512, 0.5904], [0.2500, 0.2500, 0.5041], [0.2500, 0.2500, 0.9831], [0.2500, 0.4488, 0.5904], [0.2500, 0.5785, 0.0094], [0.2500, 0.9215, 0.0094], [0.7500, 0.0785, 0.9906], [0.7500, 0.4215, 0.9906], [0.7500, 0.5512, 0.4096], [0.7500, 0.7500, 0.0169], [0.7500, 0.7500, 0.4959], [0.7500, 0.9488, 0.4096]], "energy_ev_per_atom": -6.1500, "crystal_system": "orthorhombic"}

No. 5
{"formula": "CuAu", "functional": "PBE-GGA", "state": "optimized geometry", "cell": [[2.8253, 0.0000, 0.0000], [-1.4127, 2.4468, 0.0000], [0.0000, 0.0000, 8.9575]], "species": ["Cu", "Cu", "Au", "Au"], "frac_coords": [[0.3333, 0.6667, 0.3934], [0.6667, 0.3333, 0.6066], [0.3333, 0.6667, 0.8532], [0.6667, 0.3333, 0.1468]], "formation_enthalpy_0k_ev_per_atom": 0.050, "energy_ev_per_atom": -3.6370, "crystal_system": "trigonal"}

No. 6
{"formula": "Pr4Ho3Er", "functional": "PBE-GGA", "state": "optimized geometry", "cell": [[11.6416, 0.0000, 0.0000], [0.0000, 7.3501, 0.0000], [0.0000, 0.0000, 6.3158]], "species": ["Pr", "Pr", "Pr", "Pr", "Pr", "Pr", "Pr", "Pr", "Ho", "Ho", "Ho", "Ho", "Ho", "Ho", "Er", "Er"], "frac_coords": [[0.0000, 0.1284, 0.0000], [0.0000, 0.8705, 0.4985], [0.2494, 0.8707, 0.8381], [0.2506, 0.1293, 0.3381], [0.5000, 0.1295, 0.9985], [0.5000, 0.8716, 0.5000], [0.7494, 0.1293, 0.3381], [0.7506, 0.8707, 0.8381], [0.0000, 0.3797, 0.5021], [0.2500, 0.3804, 0.8350], [0.2500, 0.6196, 0.3350], [0.5000, 0.6203, 0.0021], [0.7500, 0.3804, 0.8350], [0.7500, 0.6196, 0.3350], [0.0000, 0.6188, 0.0019], [0.5000, 0.3812, 0.5019]], "e_above_lowest_polymorph_kj_per_mol_atoms": 0.0, "formation_enthalpy_0k_ev_per_atom": 0.031, "energy_ev_per_atom": -4.6455, "crystal_system": "orthorhombic"}